(1)
Entry from the Alexandria database: a relaxed PrAs2Pd5Pb crystal (GGA-PBE). Values from VASP.

Geometry as Quantum ESPRESSO input:
```
&SYSTEM
  ibrav = 0, nat = 9, ntyp = 4
/
ATOMIC_SPECIES
Pr 140.91 Pr.upf
As 74.92 As.upf
Pd 106.42 Pd.upf
Pb 207.20 Pb.upf
CELL_PARAMETERS angstrom
4.3821 0.0000 0.0000
0.0000 4.3821 0.0000
0.0000 0.0000 8.8079
ATOMIC_POSITIONS angstrom
Pr 0.0000 0.0000 0.0000
As 2.1911 2.1911 1.2967
As 2.1911 2.1911 7.5111
Pd 0.0000 2.1911 2.4753
Pd 0.0000 2.1911 6.3326
Pd 2.1911 0.0000 2.4753
Pd 2.1911 0.0000 6.3326
Pd 2.1911 2.1911 4.4039
Pb 0.0000 0.0000 4.4039
```

Calculated values
formation energy from the elements: -5.4 eV/f.u.
calculated density: 10113 kg/m³

(2)
Entry from the Alexandria database: a relaxed Si2BCl crystal (GGA-PBE). Values from VASP.

Geometry as Quantum ESPRESSO input:
```
&SYSTEM
  ibrav = 0, nat = 8, ntyp = 3
/
ATOMIC_SPECIES
Si 28.09 Si.upf
B 10.81 B.upf
Cl 35.45 Cl.upf
CELL_PARAMETERS angstrom
-2.5533 2.5533 5.4891
2.5533 -2.5533 5.4891
2.5533 2.5533 -5.4891
ATOMIC_POSITIONS angstrom
Si 0.6000 1.2767 1.3723
Si -1.2767 1.9534 4.1168
Si -0.6000 3.8300 1.3723
Si 1.2767 3.1533 4.1168
B 0.0000 0.0000 0.0000
B 0.0000 2.5533 2.7445
Cl 2.5533 0.0000 2.7445
Cl 0.0000 0.0000 5.4891
```

Calculated values
calculated density: 2377 kg/m³
raw formation energy: 454 meV per atom
energy above the lowest structure with this stoichiometry: 0 meV per atom

(3)
Entry from the Alexandria database: a relaxed CaTl2In2 crystal (GGA-PBE). Values from VASP.

Geometry as Quantum ESPRESSO input:
```
&SYSTEM
  ibrav = 0, nat = 5, ntyp = 3
/
ATOMIC_SPECIES
Ca 40.08 Ca.upf
Tl 204.38 Tl.upf
In 114.82 In.upf
CELL_PARAMETERS angstrom
-2.4743 2.4743 6.3571
2.4743 -2.4743 6.3571
2.4743 2.4743 -6.3571
ATOMIC_POSITIONS angstrom
Ca 0.0000 0.0000 0.0000
Tl 2.4743 0.0000 3.1785
Tl 0.0000 2.4743 3.1785
In 0.0000 0.0000 4.9616
In 0.0000 0.0000 7.7526
```

Calculated values
formation energy from the elements: -0.4 eV/f.u.
calculated density: 7237 kg/m³
energy above the lowest structure with this stoichiometry: 61 meV per atom

(4)
Entry from the Alexandria database: a relaxed Pa2PdS4Cl crystal (GGA-PBE). Values from VASP.

Geometry as Quantum ESPRESSO input:
```
&SYSTEM
  ibrav = 0, nat = 8, ntyp = 4
/
ATOMIC_SPECIES
Pa 231.04 Pa.upf
Pd 106.42 Pd.upf
S 32.06 S.upf
Cl 35.45 Cl.upf
CELL_PARAMETERS angstrom
5.9837 -1.9587 0.0000
5.9837 1.9587 0.0000
-2.1841 0.0000 7.0242
ATOMIC_POSITIONS angstrom
Pa 1.7422 0.0000 1.5168
Pa 8.0411 0.0000 5.5075
Pd -1.0920 0.0000 3.5121
S 0.2183 0.0000 5.8143
S 3.1809 0.0000 3.9223
S 6.6025 0.0000 3.1019
S 9.5650 0.0000 1.2099
Cl 5.9837 0.0000 0.0000
```

Calculated values
calculated density: 7384 kg/m³
raw formation energy: -1327 meV per atom

(5)
Entry from the Alexandria database: a relaxed Ta2TlAg crystal (GGA-PBE). Values from VASP.

Geometry as Quantum ESPRESSO input:
```
&SYSTEM
  ibrav = 0, nat = 4, ntyp = 3
/
ATOMIC_SPECIES
Ta 180.95 Ta.upf
Tl 204.38 Tl.upf
Ag 107.87 Ag.upf
CELL_PARAMETERS angstrom
5.1369 -1.5229 0.0000
5.1369 1.5229 0.0000
-0.9878 0.0000 4.9464
ATOMIC_POSITIONS angstrom
Ta 2.3216 0.0000 1.1891
Ta 6.9644 0.0000 3.7572
Tl -0.4939 0.0000 2.4732
Ag 5.1369 0.0000 0.0000
```

Calculated values
formation energy from the elements: 1.9 eV/f.u.
calculated density: 14465 kg/m³

(6)
Entry from the Alexandria database: a relaxed La2NdInN crystal (GGA-PBE). Values from VASP.

Geometry as Quantum ESPRESSO input:
```
&SYSTEM
  ibrav = 0, nat = 5, ntyp = 4
/
ATOMIC_SPECIES
La 138.91 La.upf
Nd 144.24 Nd.upf
In 114.82 In.upf
N 14.01 N.upf
CELL_PARAMETERS angstrom
5.1119 0.0000 0.0000
0.0000 5.1119 0.0000
0.0000 0.0000 5.0993
ATOMIC_POSITIONS angstrom
La 0.0000 2.5560 0.0000
La 2.5560 0.0000 0.0000
Nd 0.0000 0.0000 2.5497
In 2.5560 2.5560 2.5497
N 0.0000 0.0000 0.0000
```

Calculated values
calculated density: 6865 kg/m³
raw formation energy: -871 meV per atom

(7)
Entry from the Alexandria database: a relaxed LiInGaCu crystal (GGA-PBE). Values from VASP.

Geometry as Quantum ESPRESSO input:
```
&SYSTEM
  ibrav = 0, nat = 4, ntyp = 4
/
ATOMIC_SPECIES
Li 6.94 Li.upf
In 114.82 In.upf
Ga 69.72 Ga.upf
Cu 63.55 Cu.upf
CELL_PARAMETERS angstrom
0.0000 3.1993 3.1993
3.1993 0.0000 3.1993
3.1993 3.1993 0.0000
ATOMIC_POSITIONS angstrom
Li 0.0000 0.0000 0.0000
In 1.5997 1.5997 1.5997
Ga 4.7990 4.7990 4.7990
Cu 3.1993 3.1993 3.1993
```

Calculated values
formation energy from the elements: -0.5 eV/f.u.
calculated density: 6466 kg/m³

(8)
Entry from the Alexandria database: a relaxed Ac5Tl4Zn crystal (GGA-PBE). Values from VASP.

Geometry as Quantum ESPRESSO input:
```
&SYSTEM
  ibrav = 0, nat = 10, ntyp = 3
/
ATOMIC_SPECIES
Ac 227.00 Ac.upf
Tl 204.38 Tl.upf
Zn 65.41 Zn.upf
CELL_PARAMETERS angstrom
3.9627 0.0000 0.0000
0.0000 3.9627 0.0000
0.0000 0.0000 21.7061
ATOMIC_POSITIONS angstrom
Ac 0.0000 0.0000 0.0000
Ac 0.0000 0.0000 4.4976
Ac 0.0000 0.0000 8.9659
Ac 0.0000 0.0000 12.7402
Ac 0.0000 0.0000 17.2086
Tl 1.9814 1.9814 2.2598
Tl 1.9814 1.9814 6.7649
Tl 1.9814 1.9814 14.9412
Tl 1.9814 1.9814 19.4463
Zn 1.9814 1.9814 10.8531
```

Calculated values
formation energy from the elements: -3.4 eV/f.u.
calculated density: 9831 kg/m³

(9)
Entry from the Alexandria database: a relaxed Sm2TeH2 crystal (GGA-PBE). Values from VASP.

Geometry as Quantum ESPRESSO input:
```
&SYSTEM
  ibrav = 0, nat = 10, ntyp = 3
/
ATOMIC_SPECIES
Sm 150.36 Sm.upf
Te 127.60 Te.upf
H 1.01 H.upf
CELL_PARAMETERS angstrom
0.0000 4.7009 5.0608
4.1741 0.0000 5.0608
4.1741 4.7009 0.0000
ATOMIC_POSITIONS angstrom
Sm 3.1306 3.5257 0.6921
Sm 5.2176 5.8762 3.2225
Sm 3.1306 3.5257 6.8991
Sm 5.2176 5.8762 9.4296
Te 3.1306 3.5257 3.7956
Te 5.2176 5.8762 6.3260
H 3.1306 0.1047 3.7956
H 5.2176 2.4552 6.3260
H 3.1306 6.9467 3.7956
H 5.2176 9.2971 6.3260
```

Calculated values
uncorrected energy: -0.346 Ry/atom
calculated density: 7196 kg/m³

(10)
Entry from the Alexandria database: a relaxed BiSbPd crystal (GGA-PBE). Values from VASP.

Geometry as Quantum ESPRESSO input:
```
&SYSTEM
  ibrav = 0, nat = 3, ntyp = 3
/
ATOMIC_SPECIES
Bi 208.98 Bi.upf
Sb 121.76 Sb.upf
Pd 106.42 Pd.upf
CELL_PARAMETERS angstrom
0.0000 3.3724 3.3724
3.3724 0.0000 3.3724
3.3724 3.3724 0.0000
ATOMIC_POSITIONS angstrom
Bi 0.0000 0.0000 0.0000
Sb 3.3724 3.3724 3.3724
Pd 1.6862 1.6862 1.6862
```

Calculated values
calculated density: 9463 kg/m³
raw formation energy: -284 meV per atom
energy above the lowest structure with this stoichiometry: 0 meV per atom

(11)
Entry from the Alexandria database: a relaxed Zr4ZnGa3 crystal (GGA-PBE). Values from VASP.

Geometry as Quantum ESPRESSO input:
```
&SYSTEM
  ibrav = 0, nat = 8, ntyp = 3
/
ATOMIC_SPECIES
Zr 91.22 Zr.upf
Zn 65.41 Zn.upf
Ga 69.72 Ga.upf
CELL_PARAMETERS angstrom
3.8346 0.0000 0.0000
0.0000 3.9437 0.0000
0.0000 0.0000 10.3143
ATOMIC_POSITIONS angstrom
Zr 0.0000 0.0000 0.0000
Zr 0.0000 1.9719 5.1448
Zr 1.9173 0.0000 2.9728
Zr 1.9173 1.9719 8.1356
Zn 1.9173 0.0000 5.8185
Ga 0.0000 0.0000 7.4740
Ga 0.0000 1.9719 2.3172
Ga 1.9173 1.9719 0.6483
```

Calculated values
formation energy from the elements: -4.1 eV/f.u.
calculated density: 6808 kg/m³

(12)
Entry from the Alexandria database: a relaxed Na2LiRhF crystal (GGA-PBE). Values from VASP.

Geometry as Quantum ESPRESSO input:
```
&SYSTEM
  ibrav = 0, nat = 5, ntyp = 4
/
ATOMIC_SPECIES
Na 22.99 Na.upf
Li 6.94 Li.upf
Rh 102.91 Rh.upf
F 19.00 F.upf
CELL_PARAMETERS angstrom
5.5002 0.0000 0.0000
0.0000 5.5002 0.0000
0.0000 0.0000 4.6838
ATOMIC_POSITIONS angstrom
Na 0.0000 2.7501 0.0000
Na 2.7501 0.0000 0.0000
Li 0.0000 0.0000 2.3419
Rh 0.0000 0.0000 0.0000
F 2.7501 2.7501 2.3419
```

Calculated values
calculated density: 2049 kg/m³
raw formation energy: -49 meV per atom
energy above the lowest structure with this stoichiometry: 426 meV per atom

Q: The lowest calculated density belongs to which entry?
A: Na2LiRhF